Entry 1:
A plane-wave DFT calculation with GGA-PBEsol was carried out for a relaxed KErS2O8 crystal.

Summary:
DFT total energy = -6.883 eV per atom
E_form (uncorrected) = -25.774 eV/f.u.
SG = P2_1/c

Geometry as POSCAR:
```
KErS2O8
1.0
5.420 0.000 0.000
0.000 13.255 0.000
-4.905 0.000 8.731
K Er S O
4 4 8 32
direct
0.087 0.088 0.341 K
0.087 0.412 0.841 K
0.913 0.588 0.159 K
0.913 0.912 0.659 K
0.411 0.650 0.691 Er
0.411 0.850 0.191 Er
0.589 0.150 0.809 Er
0.589 0.350 0.309 Er
0.141 0.662 0.891 S
0.141 0.838 0.391 S
0.323 0.116 0.078 S
0.323 0.384 0.578 S
0.677 0.616 0.422 S
0.677 0.884 0.922 S
0.859 0.162 0.609 S
0.859 0.338 0.109 S
0.019 0.099 0.973 O
0.019 0.401 0.473 O
0.087 0.733 0.766 O
0.087 0.767 0.266 O
0.116 0.101 0.646 O
0.116 0.399 0.146 O
0.240 0.710 0.041 O
0.240 0.790 0.541 O
0.357 0.213 0.159 O
0.357 0.287 0.659 O
0.367 0.592 0.899 O
0.367 0.908 0.399 O
0.438 0.033 0.191 O
0.438 0.467 0.691 O
0.477 0.121 0.991 O
0.477 0.379 0.491 O
0.523 0.621 0.509 O
0.523 0.879 0.009 O
0.562 0.533 0.309 O
0.562 0.967 0.809 O
0.633 0.092 0.601 O
0.633 0.408 0.101 O
0.643 0.713 0.341 O
0.643 0.787 0.841 O
0.760 0.210 0.459 O
0.760 0.290 0.959 O
0.884 0.601 0.854 O
0.884 0.899 0.354 O
0.913 0.233 0.734 O
0.913 0.267 0.234 O
0.981 0.599 0.527 O
0.981 0.901 0.027 O
```

Entry 2:
A plane-wave DFT calculation with GGA-PBEsol was carried out for a relaxed YAl2Ni2 crystal.

Summary:
DFT total energy = -6.055 eV per atom
ΔH_f (0 K) = -0.591 eV per atom
SG = I4/mmm

Geometry as POSCAR:
```
YAl2Ni2
1.0
-1.963 1.963 5.148
1.963 -1.963 5.148
1.963 1.963 -5.148
Y Al Ni
1 2 2
direct
0.000 0.000 0.000 Y
0.250 0.750 0.500 Al
0.750 0.250 0.500 Al
0.387 0.387 0.000 Ni
0.613 0.613 0.000 Ni
```

Entry 3:
A plane-wave DFT calculation with GGA-PBEsol was carried out for a relaxed BaSr crystal.

Summary:
DFT total energy = -1.988 eV per atom
polymorph energy (0 for the lowest one) = 0.008 eV/atom
ΔH_f (0 K) = 0.007 eV per atom
SG = Fd-3m

Geometry as POSCAR:
```
BaSr
1.0
0.000 4.781 4.781
4.781 0.000 4.781
4.781 4.781 0.000
Ba Sr
2 2
direct
0.125 0.125 0.125 Ba
0.875 0.875 0.875 Ba
0.375 0.375 0.375 Sr
0.625 0.625 0.625 Sr
```